## Ti2MnMo (PBE)

Data for a relaxed structure of Ti2MnMo.

Formation enthalpy at 0 K ... -0.100 eV per atom
DFT total energy ... -9.048 eV/atom
D(E_F) ... 1.620 states/eV/atom
Spin magnetization ... 1.3 Bohr magnetons per cell

Geometry as CIF:
```
data_Ti2MnMo
_chemical_formula_sum 'Ti2 Mn1 Mo1'
_cell_length_a 4.3838
_cell_length_b 4.3838
_cell_length_c 3.0890
_cell_angle_alpha 90.00
_cell_angle_beta 90.00
_cell_angle_gamma 90.00
_symmetry_space_group_name_H-M 'P 4/m m m'
_symmetry_Int_Tables_number 123
_symmetry_space_group_name_Hall '-P 4 2'
loop_
_atom_site_label
_atom_site_type_symbol
_atom_site_fract_x
_atom_site_fract_y
_atom_site_fract_z
Ti1 Ti 0.0000 0.5000 0.0000
Mn1 Mn 0.0000 0.0000 0.5000
Mo1 Mo 0.5000 0.5000 0.5000
```

***

## Ti3Mn2Mo (PBE)

Data for a relaxed structure of Ti3Mn2Mo.

Formation enthalpy at 0 K ... -0.161 eV per atom
DFT total energy ... -8.971 eV/atom
D(E_F) ... 1.240 states/eV/atom
Spin magnetization ... 0.4 Bohr magnetons per cell

Geometry as CIF:
```
data_Ti3Mn2Mo
_chemical_formula_sum 'Ti3 Mn2 Mo1'
_cell_length_a 3.0006
_cell_length_b 3.0006
_cell_length_c 9.4130
_cell_angle_alpha 90.00
_cell_angle_beta 90.00
_cell_angle_gamma 90.00
_symmetry_space_group_name_H-M 'P 4/m m m'
_symmetry_Int_Tables_number 123
_symmetry_space_group_name_Hall '-P 4 2'
loop_
_atom_site_label
_atom_site_type_symbol
_atom_site_fract_x
_atom_site_fract_y
_atom_site_fract_z
Ti1 Ti 0.0000 0.0000 0.0000
Ti2 Ti 0.0000 0.0000 0.3115
Mn1 Mn 0.5000 0.5000 0.1609
Mo1 Mo 0.5000 0.5000 0.5000
```

***

## TiMnMo2 (PBE)

Data for a relaxed structure of TiMnMo2.

Formation enthalpy at 0 K ... -0.021 eV per atom
DFT total energy ... -9.703 eV/atom
D(E_F) ... 0.556 states/eV/atom
Energy above the most stable polymorph in this dataset ... 0.000 kcal/mol of atoms
Spin magnetization ... 0.0 Bohr magnetons per cell

Geometry as CIF:
```
data_TiMnMo2
_chemical_formula_sum 'Ti4 Mn4 Mo8'
_cell_length_a 6.1306
_cell_length_b 6.1306
_cell_length_c 6.1306
_cell_angle_alpha 90.00
_cell_angle_beta 90.00
_cell_angle_gamma 90.00
_symmetry_space_group_name_H-M 'F m -3 m'
_symmetry_Int_Tables_number 225
_symmetry_space_group_name_Hall '-F 4 2 3'
loop_
_atom_site_label
_atom_site_type_symbol
_atom_site_fract_x
_atom_site_fract_y
_atom_site_fract_z
Ti1 Ti 0.0000 0.0000 0.0000
Mn1 Mn 0.0000 0.0000 0.5000
Mo1 Mo 0.2500 0.2500 0.2500
```

***

## Ti3MnMo (PBE)

Data for a relaxed structure of Ti3MnMo.

Formation enthalpy at 0 K ... -0.092 eV per atom
DFT total energy ... -8.829 eV/atom
D(E_F) ... 1.435 states/eV/atom
Energy above the most stable polymorph in this dataset ... 0.000 kcal/mol of atoms
Spin magnetization ... 0.9 Bohr magnetons per cell

Geometry as CIF:
```
data_Ti3MnMo
_chemical_formula_sum 'Ti6 Mn2 Mo2'
_cell_length_a 4.4242
_cell_length_b 4.4213
_cell_length_c 8.1280
_cell_angle_alpha 90.00
_cell_angle_beta 105.65
_cell_angle_gamma 90.00
_symmetry_space_group_name_H-M 'P 1 21/m 1'
_symmetry_Int_Tables_number 11
loop_
_symmetry_equiv_pos_as_xyz
'x,y,z'
'-x,-y,-z'
'-x,y+1/2,-z'
'x,-y+1/2,z'
loop_
_atom_site_label
_atom_site_type_symbol
_atom_site_fract_x
_atom_site_fract_y
_atom_site_fract_z
Ti1 Ti 0.0613 0.2500 0.1227
Ti2 Ti 0.2496 0.2500 0.4998
Ti3 Ti 0.4384 0.2500 0.8758
Mn1 Mn 0.1474 0.7500 0.2961
Mo1 Mo 0.3513 0.7500 0.7015
```

***

## Ti2MnMo (PBE)

Data for a relaxed structure of Ti2MnMo.

Formation enthalpy at 0 K ... 0.476 eV per atom
DFT total energy ... -8.471 eV/atom
D(E_F) ... 1.280 states/eV/atom
Spin magnetization ... 0.0 Bohr magnetons per cell

Geometry as CIF:
```
data_Ti2MnMo
_chemical_formula_sum 'Ti4 Mn2 Mo2'
_cell_length_a 2.7433
_cell_length_b 4.6352
_cell_length_c 9.7334
_cell_angle_alpha 90.00
_cell_angle_beta 90.00
_cell_angle_gamma 90.00
_symmetry_space_group_name_H-M 'I m m m'
_symmetry_Int_Tables_number 71
_symmetry_space_group_name_Hall '-I 2 2'
loop_
_atom_site_label
_atom_site_type_symbol
_atom_site_fract_x
_atom_site_fract_y
_atom_site_fract_z
Ti1 Ti 0.0000 0.0000 0.2192
Mn1 Mn 0.0000 0.0000 0.0000
Mo1 Mo 0.0000 0.0000 0.5000
```

***

## Ti4Mn5Mo (PBE)

Data for a relaxed structure of Ti4Mn5Mo.

Formation enthalpy at 0 K ... -0.221 eV per atom
DFT total energy ... -9.047 eV/atom
D(E_F) ... 0.857 states/eV/atom
Spin magnetization ... 2.0 Bohr magnetons per cell

Geometry as CIF:
```
data_Ti4Mn5Mo
_chemical_formula_sum 'Ti4 Mn5 Mo1'
_cell_length_a 2.9837
_cell_length_b 2.9837
_cell_length_c 14.9372
_cell_angle_alpha 90.00
_cell_angle_beta 90.00
_cell_angle_gamma 90.00
_symmetry_space_group_name_H-M 'P 4/m m m'
_symmetry_Int_Tables_number 123
_symmetry_space_group_name_Hall '-P 4 2'
loop_
_atom_site_label
_atom_site_type_symbol
_atom_site_fract_x
_atom_site_fract_y
_atom_site_fract_z
Ti1 Ti 0.0000 0.0000 0.1006
Ti2 Ti 0.0000 0.0000 0.2989
Mn1 Mn 0.5000 0.5000 0.0000
Mn2 Mn 0.5000 0.5000 0.2006
Mn3 Mn 0.5000 0.5000 0.4023
Mo1 Mo 0.0000 0.0000 0.5000
```

***

## TiMn4Mo (PBE)

Data for a relaxed structure of TiMn4Mo.

Formation enthalpy at 0 K ... -0.131 eV per atom
DFT total energy ... -9.365 eV/atom
D(E_F) ... 1.961 states/eV/atom
Spin magnetization ... 0.0 Bohr magnetons per cell

Geometry as CIF:
```
data_TiMn4Mo
_chemical_formula_sum 'Ti4 Mn16 Mo4'
_cell_length_a 6.6961
_cell_length_b 6.6961
_cell_length_c 6.6961
_cell_angle_alpha 90.00
_cell_angle_beta 90.00
_cell_angle_gamma 90.00
_symmetry_space_group_name_H-M 'F -4 3 m'
_symmetry_Int_Tables_number 216
_symmetry_space_group_name_Hall 'F -4 2 3'
loop_
_atom_site_label
_atom_site_type_symbol
_atom_site_fract_x
_atom_site_fract_y
_atom_site_fract_z
Ti1 Ti 0.0000 0.0000 0.0000
Mn1 Mn 0.1262 0.1262 0.3738
Mo1 Mo 0.2500 0.2500 0.7500
```

***

## Ti3MnMo (PBE)

Data for a relaxed structure of Ti3MnMo.

Formation enthalpy at 0 K ... 0.584 eV per atom
DFT total energy ... -8.153 eV/atom
D(E_F) ... 1.125 states/eV/atom
Energy above the most stable polymorph in this dataset ... 15.578 kcal/mol of atoms
Spin magnetization ... 0.0 Bohr magnetons per cell

Geometry as CIF:
```
data_Ti3MnMo
_chemical_formula_sum 'Ti3 Mn1 Mo1'
_cell_length_a 4.4115
_cell_length_b 4.4115
_cell_length_c 4.4115
_cell_angle_alpha 90.00
_cell_angle_beta 90.00
_cell_angle_gamma 90.00
_symmetry_space_group_name_H-M 'P m -3 m'
_symmetry_Int_Tables_number 221
_symmetry_space_group_name_Hall '-P 4 2 3'
loop_
_atom_site_label
_atom_site_type_symbol
_atom_site_fract_x
_atom_site_fract_y
_atom_site_fract_z
Ti1 Ti 0.0000 0.0000 0.5000
Mn1 Mn 0.0000 0.0000 0.0000
Mo1 Mo 0.5000 0.5000 0.5000
```